# 1
Below is an optimized crystal structure of CaAcSn2Au5, with properties calculated at the PBE-GGA level.

Lattice parameters (Å, degrees): 4.9999 4.9999 9.1978 90.00 90.00 90.00
Last column: nearest neighbours and their distance in Å.
Element x y z (fractional)
Ca1 0.0000 0.0000 0.0000  8 Au 3.57, 8 Sn 3.83
Ac1 0.0000 0.0000 0.5000  12 Au 3.23-3.54
Sn1 0.5000 0.5000 0.1600  4 Au 2.72, 1 Sn 2.94
Sn2 0.5000 0.5000 0.8400  4 Au 2.72, 1 Sn 2.94
Au1 0.0000 0.5000 0.2770  2 Sn 2.72
Au2 0.0000 0.5000 0.7230  2 Sn 2.72
Au3 0.5000 0.0000 0.2770  2 Sn 2.72
Au4 0.5000 0.0000 0.7230  2 Sn 2.72
Au5 0.5000 0.5000 0.5000  2 Sn 3.13, 8 Au 3.23

DFT total energy ... -34.478 eV/cell

# 2
Below is an optimized crystal structure of Rb2VSeI, with properties calculated at the PBE-GGA level.

Lattice parameters (Å, degrees): 6.7048 6.7048 5.0946 90.00 90.00 90.00
Last column: nearest neighbours and their distance in Å.
Element x y z (fractional)
Rb1 0.0000 0.5000 0.0000  2 V 3.35
Rb2 0.5000 0.0000 0.0000  2 V 3.35
V1 0.0000 0.0000 0.0000  2 I 2.55
Se1 0.5000 0.5000 0.5000  8 Rb 4.21
I1 0.0000 0.0000 0.5000  2 V 2.55

E_form (uncorrected) ... 0.600 eV/f.u.

M_tot readings, ordered: 0.0000 0.8600 μB/atom